# meta-GGA SCAN Na3FeAs, PBEsol geometry
data_Na3FeAs
_chemical_formula_sum 'Na3 Fe1 As1'
_cell_length_a 5.217
_cell_length_b 5.217
_cell_length_c 5.217
_cell_angle_alpha 90.00
_cell_angle_beta 90.00
_cell_angle_gamma 90.00
_space_group_name_H-M_alt 'P m -3 m'
_space_group_IT_number 221
_space_group_name_Hall '-P 4 2 3'
loop_
_atom_site_label
_atom_site_fract_x
_atom_site_fract_y
_atom_site_fract_z
Na1 0.000 0.000 0.500
Fe1 0.000 0.000 0.000
As1 0.500 0.500 0.500
# magnetization	4.0	μB per cell
# energy relative to the elements	400.9	kJ/mol of formula units
# crystal system	cubic